## Rb3PbW (PBE-GGA)

Data for Rb3PbW after structural relaxation.

```
Rb3PbW
1.0
-2.032 6.693 -0.864
-6.305 -2.204 -2.250
-2.406 0.124 6.623
Pb Rb W
1 3 1
Direct
0.000 0.000 0.000
0.000 0.500 0.000
0.000 0.000 0.500
0.500 0.000 0.000
0.500 0.500 0.500
```

Results
Total magnetization, μB/cell: 7.00
Formation energy, eV/atom: 1.503